Ce2FeSe2O2 | Alexandria via LeMat-Bulk | PBE+U | relaxed; crystal system = orthorhombic; spin magnetization = 11.5 μB per cell; excess energy over the best structure of this formula in the dataset = 10 meV/atom; energy = -7.101 eV per atom
1.0
0.432 3.710 -7.512
-2.898 -0.671 7.844
12.958 9.900 5.634
Ce Se O Fe
8 8 8 4
Direct
0.774 0.226 0.093
0.072 0.928 0.417
0.767 0.233 0.409
0.923 0.077 0.582
0.928 0.072 0.917
0.233 0.767 0.909
0.077 0.923 0.082
0.226 0.774 0.593
0.992 0.008 0.748
0.261 0.739 0.251
0.417 0.583 0.430
0.583 0.417 0.930
0.576 0.424 0.565
0.008 0.992 0.248
0.424 0.576 0.065
0.739 0.261 0.751
0.786 0.214 0.545
0.208 0.792 0.455
0.632 0.368 0.135
0.628 0.372 0.366
0.792 0.208 0.955
0.372 0.628 0.866
0.368 0.632 0.635
0.214 0.786 0.045
0.366 0.634 0.750
0.634 0.366 0.250
0.413 0.587 0.278
0.587 0.413 0.778